## NaCu4P2ClO9 (meta-GGA SCAN)

Data for NaCu4P2ClO9 at its PBEsol-relaxed geometry.

```
data_NaCu4P2ClO9
_cell_length_a 8.3394
_cell_length_b 6.3913
_cell_length_c 16.4405
_cell_angle_alpha 90.00
_cell_angle_beta 108.94
_cell_angle_gamma 90.00
_symmetry_space_group_name_H-M 'P 1'
_symmetry_Int_Tables_number 1
loop_
_symmetry_equiv_pos_as_xyz
'x,y,z'
loop_
_atom_site_label
_atom_site_type_symbol
_atom_site_fract_x
_atom_site_fract_y
_atom_site_fract_z
Na1 Na 0.1579 0.0013 0.1719
Na2 Na 0.1579 0.4987 0.6719
Na3 Na 0.8421 0.5013 0.3281
Na4 Na 0.8421 0.9987 0.8281
Cu1 Cu 0.1702 0.7478 0.9428
Cu2 Cu 0.1702 0.7522 0.4428
Cu3 Cu 0.1937 0.5051 0.1530
Cu4 Cu 0.1937 0.9949 0.6530
Cu5 Cu 0.3917 0.7452 0.3344
Cu6 Cu 0.3917 0.7548 0.8344
Cu7 Cu 0.5000 0.0000 0.0000
Cu8 Cu 0.5000 0.0000 0.5000
Cu9 Cu 0.5000 0.5000 0.0000
Cu10 Cu 0.5000 0.5000 0.5000
Cu11 Cu 0.6083 0.2452 0.1656
Cu12 Cu 0.6083 0.2548 0.6656
Cu13 Cu 0.8063 0.0051 0.3470
Cu14 Cu 0.8063 0.4949 0.8470
Cu15 Cu 0.8298 0.2478 0.5572
Cu16 Cu 0.8298 0.2522 0.0572
P1 P 0.1219 0.2344 0.4836
P2 P 0.1219 0.2656 0.9836
P3 P 0.4618 0.2434 0.8109
P4 P 0.4618 0.2566 0.3109
P5 P 0.5382 0.7434 0.6891
P6 P 0.5382 0.7566 0.1891
P7 P 0.8781 0.7344 0.0164
P8 P 0.8781 0.7656 0.5164
Cl1 Cl 0.0877 0.7224 0.2903
Cl2 Cl 0.0877 0.7776 0.7903
Cl3 Cl 0.9123 0.2224 0.2097
Cl4 Cl 0.9123 0.2776 0.7097
O1 O 0.0428 0.7195 0.0932
O2 O 0.0428 0.7805 0.5932
O3 O 0.0685 0.2191 0.5684
O4 O 0.0685 0.2809 0.0684
O5 O 0.2117 0.0574 0.9830
O6 O 0.2117 0.4426 0.4830
O7 O 0.2437 0.0470 0.4891
O8 O 0.2437 0.4530 0.9891
O9 O 0.3197 0.2133 0.7246
O10 O 0.3197 0.2867 0.2246
O11 O 0.3680 0.7305 0.2122
O12 O 0.3680 0.7695 0.7122
O13 O 0.4054 0.7484 0.4530
O14 O 0.4054 0.7516 0.9530
O15 O 0.4347 0.0580 0.3570
O16 O 0.4347 0.4420 0.8570
O17 O 0.4813 0.0504 0.8706
O18 O 0.4813 0.4496 0.3706
O19 O 0.5187 0.5504 0.6294
O20 O 0.5187 0.9496 0.1294
O21 O 0.5653 0.5580 0.1430
O22 O 0.5653 0.9420 0.6430
O23 O 0.5946 0.2484 0.0470
O24 O 0.5946 0.2516 0.5470
O25 O 0.6320 0.2305 0.2878
O26 O 0.6320 0.2695 0.7878
O27 O 0.6803 0.7133 0.7754
O28 O 0.6803 0.7867 0.2754
O29 O 0.7563 0.5470 0.0109
O30 O 0.7563 0.9530 0.5109
O31 O 0.7883 0.5574 0.5170
O32 O 0.7883 0.9426 0.0170
O33 O 0.9315 0.7191 0.9316
O34 O 0.9315 0.7809 0.4316
O35 O 0.9572 0.2195 0.4068
O36 O 0.9572 0.2805 0.9068
```

E (eV/atom): -10.484